Entry 1:
Computed, not measured: a relaxed TiAl2FeSi crystal at the PBE-GGA level of DFT.

Values from the calculation:
- Raw formation energy: 0.632 eV/atom
- Total magnetization: 0.0 Bohr magnetons per cell
- Crystal system: tetragonal
- N(E_F): 3.838 states/eV per cell

Lattice parameters (Å, degrees): 4.6053 4.0917 4.6053 90.00 90.00 90.00
Fractional positions:
Si1 0.0000 0.0000 0.0000
Al1 0.0000 0.0000 0.5000
Al2 0.5000 0.0000 0.0000
Fe1 0.0000 0.5000 0.0000
Ti1 0.5000 0.5000 0.5000

=====

Entry 2:
Computed, not measured: a relaxed TiAl2FeSi crystal at the PBE-GGA level of DFT.

Values from the calculation:
- Raw formation energy: 0.282 eV/atom
- Total magnetization: 0.7 Bohr magnetons per cell
- Crystal system: tetragonal
- N(E_F): 4.325 states/eV per cell

Lattice parameters (Å, degrees): 4.5092 4.3045 4.5092 90.00 90.00 90.00
Fractional positions:
Si1 0.5000 0.5000 0.5000
Al1 0.0000 0.0000 0.5000
Al2 0.5000 0.0000 0.0000
Fe1 0.0000 0.0000 0.0000
Ti1 0.0000 0.5000 0.0000

=====

Entry 3:
Computed, not measured: a relaxed TmAl2Fe2Si crystal at the PBE-GGA level of DFT.

Values from the calculation:
- Raw formation energy: -0.257 eV/atom
- Total magnetization: 0.7 Bohr magnetons per cell
- Crystal system: tetragonal
- N(E_F): 4.888 states/eV per cell

Lattice parameters (Å, degrees): 4.2013 4.2013 5.5284 90.00 90.00 90.00
Fractional positions:
Tm1 0.0000 0.0000 0.5000
Al1 0.5000 0.5000 0.7429
Al2 0.5000 0.5000 0.2571
Fe1 0.5000 0.0000 0.0000
Fe2 0.0000 0.5000 0.0000
Si1 0.0000 0.0000 0.0000

=====

Entry 4:
Computed, not measured: a relaxed Tm2AlFe5Si2 crystal at the PBE-GGA level of DFT.

Values from the calculation:
- Raw formation energy: -0.302 eV/atom
- Total magnetization: 8.0 Bohr magnetons per cell
- Crystal system: tetragonal
- N(E_F): 20.626 states/eV per cell

Lattice parameters (Å, degrees): 3.2227 9.3966 9.3966 90.00 90.00 90.00
Fractional positions:
Tm1 0.0000 0.6740 0.1740
Tm2 0.0000 0.3260 0.8260
Tm3 0.0000 0.1740 0.3260
Tm4 0.0000 0.8260 0.6740
Al1 0.0000 0.0000 0.0000
Al2 0.0000 0.5000 0.5000
Fe1 0.5000 0.2083 0.0648
Fe2 0.5000 0.7917 0.9352
Fe3 0.5000 0.0648 0.7917
Fe4 0.5000 0.7083 0.4352
Fe5 0.5000 0.9352 0.2083
Fe6 0.5000 0.2917 0.5648
Fe7 0.5000 0.5648 0.7083
Fe8 0.5000 0.4352 0.2917
Fe9 0.5000 0.5000 0.0000
Fe10 0.5000 0.0000 0.5000
Si1 0.0000 0.1235 0.6235
Si2 0.0000 0.8765 0.3765
Si3 0.0000 0.6235 0.8765
Si4 0.0000 0.3765 0.1235